Entry 1:
# MnSb2P

MnSb2P after structural relaxation (PBEsol, Alexandria via LeMat-Bulk).

Lattice parameters (Å, degrees): 3.3104 3.3104 6.7672 90.00 90.00 90.00
Last column: nearest neighbours and their distance in Å.
Fractional positions:
Mn (0.5000, 0.5000, 0.0000)  8 Sb 2.81
P (0.5000, 0.5000, 0.5000)  8 Sb 2.97, 4 P 3.31
Sb (0.0000, 0.0000, 0.7696)  4 Mn 2.81, 4 P 2.97, 1 Sb 3.12
Sb (0.0000, 0.0000, 0.2304)  4 Mn 2.81, 4 P 2.97, 1 Sb 3.12

- uncorrected formation energy (eV per atom) = 0.37
- crystal system = tetragonal
- space-group type = P4/mmm (123)
- M_tot (μB/f.u.) = 2.36

Entry 2:
# LiFeF3

LiFeF3 after structural relaxation (PBEsol, Alexandria via LeMat-Bulk).

Lattice parameters (Å, degrees): 4.7089 4.9889 4.9889 119.92 90.00 90.00
Last column: nearest neighbours and their distance in Å.
Fractional positions:
Li (0.2500, 0.4998, 0.5002)  6 F 1.97
Li (0.7500, 0.5002, 0.4998)  6 F 1.97
Fe (0.7500, 0.1666, 0.8334)  6 F 2.07
Fe (0.2500, 0.8334, 0.1666)  6 F 2.07
F (0.5000, 0.8161, 0.8161)  2 Li 1.97, 2 Fe 2.07
F (0.5001, 0.1830, 0.4998)  2 Li 1.97, 2 Fe 2.07
F (0.9999, 0.5002, 0.8170)  2 Li 1.97, 2 Fe 2.07
F (0.4999, 0.4998, 0.1830)  2 Li 1.97, 2 Fe 2.07
F (0.0001, 0.8170, 0.5002)  2 Li 1.97, 2 Fe 2.07
F (0.0000, 0.1839, 0.1839)  2 Li 1.97, 2 Fe 2.07

- uncorrected formation energy (eV per atom) = -2.25
- crystal system = orthorhombic
- space-group type = C222_1 (20)
- energy relative to the lowest polymorph listed for this composition (eV/f.u.) = 0.062
- M_tot (μB/f.u.) = 4.00

Entry 3:
# RbSnO3

RbSnO3 after structural relaxation (PBEsol, Alexandria via LeMat-Bulk).

Lattice parameters (Å, degrees): 4.1447 4.1447 4.1447 90.00 90.00 90.00
Last column: nearest neighbours and their distance in Å.
Fractional positions:
O (0.0000, 0.5000, 0.0000)  2 Sn 2.07
O (0.0000, 0.0000, 0.5000)  2 Sn 2.07
O (0.5000, 0.0000, 0.0000)  2 Sn 2.07
Sn (0.0000, 0.0000, 0.0000)  6 O 2.07
Rb (0.5000, 0.5000, 0.5000)  12 O 2.93

- uncorrected formation energy (eV per atom) = -1.27
- crystal system = cubic
- space-group type = Pm-3m (221)
- M_tot (μB/f.u.) = 1.01